No. 1
VASP calculation (PBE) on a relaxed structure of AcGaOsO6.

Summary:
Symmetry = No. 149

Cell lengths 5.2512, 5.2512, 5.3474 Å; angles 90.00, 90.00, 120.00 degrees
Last column: nearest neighbours and their distance in Å.
Fractional positions:
1 Ac 0.0000 0.0000 0.0000  6 O 2.54
2 Ga 0.3333 0.6667 0.5000  6 O 2.01
3 Os 0.6667 0.3333 0.5000  6 O 1.94
4 O 0.3823 0.0096 0.7046  1 Os 1.94, 1 Ga 2.01
5 O 0.3823 0.3727 0.2954  1 Os 1.94, 1 Ga 2.01
6 O 0.6273 0.0096 0.2954  1 Os 1.94, 1 Ga 2.01
7 O 0.6273 0.6177 0.7046  1 Os 1.94, 1 Ga 2.01
8 O 0.9904 0.3727 0.7046  1 Os 1.94, 1 Ga 2.01
9 O 0.9904 0.6177 0.2954  1 Os 1.94, 1 Ga 2.01

---

No. 2
VASP calculation (PBE) on a relaxed structure of MgOsRhO6.

Summary:
Symmetry = No. 102

Cell lengths 4.6367, 4.6367, 9.2190 Å; angles 90.00, 90.00, 90.00 degrees
Last column: nearest neighbours and their distance in Å.
Fractional positions:
1 Mg 0.0000 0.0000 0.0000  6 O 2.06-2.08
2 Mg 0.5000 0.5000 0.5000  6 O 2.06-2.08
3 Os 0.0000 0.0000 0.6687  6 O 1.91-1.94
4 Os 0.5000 0.5000 0.1687  6 O 1.91-1.94
5 Rh 0.0000 0.0000 0.3291  6 O 1.99-2.03
6 Rh 0.5000 0.5000 0.8291  6 O 1.99-2.03
7 O 0.1850 0.1850 0.5049  1 Os 1.94, 1 Rh 2.02, 1 Mg 2.07
8 O 0.1962 0.1962 0.8222  1 Os 1.91, 1 Rh 1.99, 1 Mg 2.08
9 O 0.2086 0.2086 0.1669  1 Os 1.91, 1 Rh 2.03, 1 Mg 2.06
10 O 0.2914 0.7086 0.6669  1 Os 1.91, 1 Rh 2.03, 1 Mg 2.06
11 O 0.3038 0.6962 0.3222  1 Os 1.91, 1 Rh 1.99, 1 Mg 2.08
12 O 0.3150 0.6850 0.0049  1 Os 1.94, 1 Rh 2.02, 1 Mg 2.07
13 O 0.6850 0.3150 0.0049  1 Os 1.94, 1 Rh 2.02, 1 Mg 2.07
14 O 0.6962 0.3038 0.3222  1 Os 1.91, 1 Rh 1.99, 1 Mg 2.08
15 O 0.7086 0.2914 0.6669  1 Os 1.91, 1 Rh 2.03, 1 Mg 2.06
16 O 0.7914 0.7914 0.1669  1 Os 1.91, 1 Rh 2.03, 1 Mg 2.06
17 O 0.8038 0.8038 0.8222  1 Os 1.91, 1 Rh 1.99, 1 Mg 2.08
18 O 0.8150 0.8150 0.5049  1 Os 1.94, 1 Rh 2.02, 1 Mg 2.07

---

No. 3
VASP calculation (PBE) on a relaxed structure of Dy4AlAu2.

Summary:
DFT formation energy = -0.456 eV/atom
Symmetry = No. 166

Cell lengths 9.4335, 9.4335, 9.4335 Å; angles 30.41, 30.41, 30.41 degrees
Last column: nearest neighbours and their distance in Å.
Fractional positions:
1 Dy 0.1226 0.1226 0.1226  3 Al 3.09, 3 Au 3.20
2 Dy 0.2929 0.2929 0.2929  4 Au 2.96
3 Dy 0.7071 0.7071 0.7071  4 Au 2.96
4 Dy 0.8774 0.8774 0.8774  3 Al 3.09, 3 Au 3.20
5 Al 0.5000 0.5000 0.5000  2 Au 2.63
6 Au 0.4026 0.4026 0.4026  1 Al 2.63
7 Au 0.5974 0.5974 0.5974  1 Al 2.63

---

No. 4
VASP calculation (PBE) on a relaxed structure of Ba3NpCu2O8.

Summary:
Symmetry = No. 164

Cell lengths 5.9061, 5.9061, 7.7939 Å; angles 90.00, 90.00, 120.00 degrees
Last column: nearest neighbours and their distance in Å.
Fractional positions:
1 Ba 0.0000 0.0000 0.0000  12 O 3.15-3.42
2 Ba 0.3333 0.6667 0.6569  1 O 2.47
3 Ba 0.6667 0.3333 0.3431  1 O 2.47
4 Np 0.0000 0.0000 0.5000  6 O 2.07
5 Cu 0.3333 0.6667 0.2037  1 O 1.80
6 Cu 0.6667 0.3333 0.7963  1 O 1.80
7 O 0.1629 0.3258 0.3430  1 Cu 2.05, 1 Np 2.07
8 O 0.1629 0.8371 0.3430  1 Cu 2.05, 1 Np 2.07
9 O 0.3258 0.1629 0.6570  1 Cu 2.05, 1 Np 2.07
10 O 0.3333 0.6667 0.9732  1 Cu 1.80
11 O 0.6667 0.3333 0.0268  1 Cu 1.80
12 O 0.6742 0.8371 0.3430  1 Cu 2.05, 1 Np 2.07
13 O 0.8371 0.1629 0.6570  1 Cu 2.05, 1 Np 2.07
14 O 0.8371 0.6742 0.6570  1 Cu 2.05, 1 Np 2.07

---

No. 5
VASP calculation (PBE) on a relaxed structure of TlCdIn.

Summary:
DFT formation energy = 0.040 eV/atom
Symmetry = No. 1

Cell lengths 3.4461, 5.5371, 8.6926 Å; angles 90.03, 99.59, 90.03 degrees
Last column: nearest neighbours and their distance in Å.
Fractional positions:
1 Tl 0.0000 0.0000 0.0000  4 In 3.30-3.55, 6 Tl 3.41-3.45, 2 Cd 3.43-3.44
2 Tl 0.4484 0.4999 0.8811  4 Cd 3.24-3.40, 1 In 3.38, 6 Tl 3.41-3.45
3 Cd 0.3521 0.0017 0.6535  2 In 3.15-3.17, 6 Cd 3.34-3.45, 4 Tl 3.38-3.44
4 Cd 0.8156 0.5030 0.5611  2 Tl 3.24, 4 In 3.24-3.34, 6 Cd 3.34-3.45
5 In 0.1854 0.5013 0.2391  2 Cd 3.24-3.26, 6 In 3.36-3.45, 3 Tl 3.38-3.46
6 In 0.7176 0.0022 0.3440  4 Cd 3.15-3.34, 1 Tl 3.30, 6 In 3.36-3.45

---

No. 6
VASP calculation (PBE) on a relaxed structure of Nd2YUAs4.

Summary:
DFT formation energy = -1.324 eV/atom
Symmetry = No. 10

Cell lengths 7.2438, 4.1694, 7.2539 Å; angles 90.00, 109.14, 90.00 degrees
Last column: nearest neighbours and their distance in Å.
Fractional positions:
1 Nd 0.0000 0.0000 0.0000  6 As 3.02-3.03
2 Nd 0.5000 0.5000 0.0000  6 As 2.99-3.00
3 Y 0.0000 0.5000 0.5000  6 As 2.92
4 U 0.5000 0.0000 0.5000  6 As 2.87-2.90
5 As 0.2506 0.0000 0.7372  1 U 2.87, 2 Y 2.92, 3 Nd 3.00-3.03
6 As 0.2566 0.5000 0.2629  2 U 2.90, 1 Y 2.92, 3 Nd 2.99-3.02
7 As 0.7434 0.5000 0.7371  2 U 2.90, 1 Y 2.92, 3 Nd 2.99-3.02
8 As 0.7494 0.0000 0.2628  1 U 2.87, 2 Y 2.92, 3 Nd 3.00-3.03

---

No. 7
VASP calculation (PBE) on a relaxed structure of Pr2ScS4.

Summary:
Symmetry = No. 11

Cell lengths 6.9976, 6.8050, 7.8149 Å; angles 90.00, 106.43, 90.00 degrees
Last column: nearest neighbours and their distance in Å.
Fractional positions:
1 Pr 0.1986 0.2500 0.0524  6 S 2.90-2.94
2 Pr 0.2173 0.2500 0.5509  6 S 2.82-2.96
3 Pr 0.7827 0.7500 0.4491  6 S 2.82-2.96
4 Pr 0.8014 0.7500 0.9476  6 S 2.90-2.94
5 Sc 0.2763 0.7500 0.8180  4 S 2.37-2.50
6 Sc 0.7237 0.2500 0.1820  4 S 2.37-2.50
7 S 0.0051 0.0009 0.7478  1 Sc 2.50
8 S 0.0051 0.4991 0.7478  1 Sc 2.50
9 S 0.4774 0.7500 0.6194  1 Sc 2.37
10 S 0.4825 0.7500 0.1195  1 Sc 2.39
11 S 0.5175 0.2500 0.8805  1 Sc 2.39
12 S 0.5226 0.2500 0.3806  1 Sc 2.37
13 S 0.9949 0.5009 0.2522  1 Sc 2.50
14 S 0.9949 0.9991 0.2522  1 Sc 2.50

---

No. 8
VASP calculation (PBE) on a relaxed structure of K2CoIr.

Summary:
Energy relative to the lowest polymorph listed for this composition = 228 meV/atom
DFT formation energy = 0.691 eV/atom
Symmetry = No. 44

Cell lengths 6.0086, 6.0086, 6.0086 Å; angles 140.56, 124.12, 70.53 degrees
Last column: nearest neighbours and their distance in Å.
Fractional positions:
1 K 0.0000 0.0000 0.0000  4 K 3.40-3.62, 4 Co 3.46-3.54, 4 Ir 3.61
2 K 0.6944 0.1944 0.5000  4 K 3.40-3.62, 4 Ir 3.45-3.54, 4 Co 3.61
3 Co 0.2956 0.7956 0.5000  2 Ir 2.27
4 Ir 0.3985 0.3985 0.0000  2 Co 2.27

---

no.,total magnetic moment (μB/atom),energy (eV per formula unit),D(E_F) (states/eV/cell)
1,0.221,-65.412,4.84
2,0.000,-61.621,6.38
3,0.000,-31.901,8.57
4,0.171,-95.668,17.18
5,0.000,-5.901,1.48
6,0.287,-56.478,8.47
7,0.000,-45.140,5.68
8,0.532,-15.397,4.03